one) # Tl2MoIr | the Alexandria database | PBE-GGA | relaxed
data_Tl2MoIr
_chemical_formula_sum 'Tl4 Mo2 Ir2'
_cell_length_a 4.170
_cell_length_b 4.170
_cell_length_c 8.826
_cell_angle_alpha 90.00
_cell_angle_beta 90.00
_cell_angle_gamma 90.00
_space_group_name_H-M_alt 'I -4 m 2'
_space_group_IT_number 119
_space_group_name_Hall 'I -4 -2'
loop_
_atom_site_label
_atom_site_type_symbol
_atom_site_fract_x
_atom_site_fract_y
_atom_site_fract_z
Tl1 Tl 0.000 0.000 0.000
Tl2 Tl 0.000 0.500 0.250
Mo1 Mo 0.000 0.000 0.500
Ir1 Ir 0.000 0.500 0.750
# N(E_F)   6.95 states/eV/cell


two) # Tl2MoIr | the Alexandria database | PBE-GGA | relaxed
data_Tl2MoIr
_chemical_formula_sum 'Tl8 Mo4 Ir4'
_cell_length_a 6.743
_cell_length_b 6.743
_cell_length_c 6.743
_cell_angle_alpha 90.00
_cell_angle_beta 90.00
_cell_angle_gamma 90.00
_space_group_name_H-M_alt 'F m -3 m'
_space_group_IT_number 225
_space_group_name_Hall '-F 4 2 3'
loop_
_atom_site_label
_atom_site_type_symbol
_atom_site_fract_x
_atom_site_fract_y
_atom_site_fract_z
Tl1 Tl 0.250 0.250 0.250
Mo1 Mo 0.000 0.000 0.000
Ir1 Ir 0.000 0.000 0.500
# N(E_F)   13.98 states/eV/cell


Computed energies relative to the best structure, in eV/atom: one) 0.012; two) 0.000


one) # TlMo2Ir | the Alexandria database | PBE-GGA | relaxed
data_TlMo2Ir
_chemical_formula_sum 'Tl3 Mo6 Ir3'
_cell_length_a 2.9058
_cell_length_b 2.9058
_cell_length_c 28.5973
_cell_angle_alpha 90.00
_cell_angle_beta 90.00
_cell_angle_gamma 120.00
_space_group_name_H-M_alt 'R 3 m'
_space_group_IT_number 160
_space_group_name_Hall 'R 3 -2"'
loop_
_atom_site_label
_atom_site_type_symbol
_atom_site_fract_x
_atom_site_fract_y
_atom_site_fract_z
Tl1 Tl 0.0000 0.0000 0.0000
Mo1 Mo 0.0000 0.0000 0.5051
Mo2 Mo 0.0000 0.0000 0.7560
Ir1 Ir 0.0000 0.0000 0.2439
# N(E_F)   13.11 states/eV/cell


two) # TlMo2Ir | the Alexandria database | PBE-GGA | relaxed
data_TlMo2Ir
_chemical_formula_sum 'Tl1 Mo2 Ir1'
_cell_length_a 3.909
_cell_length_b 3.909
_cell_length_c 4.419
_cell_angle_alpha 90.00
_cell_angle_beta 90.00
_cell_angle_gamma 90.00
_space_group_name_H-M_alt 'P 4/m m m'
_space_group_IT_number 123
_space_group_name_Hall '-P 4 2'
loop_
_atom_site_label
_atom_site_type_symbol
_atom_site_fract_x
_atom_site_fract_y
_atom_site_fract_z
Tl1 Tl 0.000 0.000 0.000
Mo1 Mo 0.000 0.500 0.500
Ir1 Ir 0.500 0.500 0.000
# N(E_F)   3.50 states/eV/cell


three) # TlMo2Ir | the Alexandria database | PBE-GGA | relaxed
data_TlMo2Ir
_chemical_formula_sum 'Tl2 Mo4 Ir2'
_cell_length_a 3.884
_cell_length_b 3.884
_cell_length_c 8.912
_cell_angle_alpha 90.00
_cell_angle_beta 90.00
_cell_angle_gamma 90.00
_space_group_name_H-M_alt 'I 4/m m m'
_space_group_IT_number 139
_space_group_name_Hall '-I 4 2'
loop_
_atom_site_label
_atom_site_type_symbol
_atom_site_fract_x
_atom_site_fract_y
_atom_site_fract_z
Tl1 Tl 0.000 0.000 0.000
Mo1 Mo 0.000 0.500 0.250
Ir1 Ir 0.000 0.000 0.500
# N(E_F)   5.96 states/eV/cell


Computed energies relative to the best structure, in eV/atom: one) 0.054; two) 0.082; three) 0.000


one) # VMo2Ir | the Alexandria database | PBE-GGA | relaxed
data_VMo2Ir
_chemical_formula_sum 'V4 Mo8 Ir4'
_cell_length_a 6.218
_cell_length_b 6.218
_cell_length_c 6.218
_cell_angle_alpha 90.00
_cell_angle_beta 90.00
_cell_angle_gamma 90.00
_space_group_name_H-M_alt 'F m -3 m'
_space_group_IT_number 225
_space_group_name_Hall '-F 4 2 3'
loop_
_atom_site_label
_atom_site_type_symbol
_atom_site_fract_x
_atom_site_fract_y
_atom_site_fract_z
V1 V 0.000 0.000 0.000
Mo1 Mo 0.250 0.250 0.250
Ir1 Ir 0.000 0.000 0.500
# N(E_F)   14.75 states/eV/cell


two) # VMo2Ir | the Alexandria database | PBE-GGA | relaxed
data_VMo2Ir
_chemical_formula_sum 'V4 Mo8 Ir4'
_cell_length_a 3.620
_cell_length_b 3.620
_cell_length_c 19.787
_cell_angle_alpha 90.00
_cell_angle_beta 90.00
_cell_angle_gamma 90.00
_space_group_name_H-M_alt 'I -4 2 d'
_space_group_IT_number 122
_space_group_name_Hall 'I -4 2bw'
loop_
_atom_site_label
_atom_site_type_symbol
_atom_site_fract_x
_atom_site_fract_y
_atom_site_fract_z
V1 V 0.000 0.000 0.000
Mo1 Mo 0.236 0.250 0.125
Ir1 Ir 0.000 0.000 0.500
# N(E_F)   18.39 states/eV/cell


Computed energies relative to the best structure, in eV/atom: one) 0.000; two) 0.461


one) # MoIr2W | the Alexandria database | PBE-GGA | relaxed
data_MoIr2W
_chemical_formula_sum 'Mo4 Ir8 W4'
_cell_length_a 6.299
_cell_length_b 6.299
_cell_length_c 6.299
_cell_angle_alpha 90.00
_cell_angle_beta 90.00
_cell_angle_gamma 90.00
_space_group_name_H-M_alt 'F m -3 m'
_space_group_IT_number 225
_space_group_name_Hall '-F 4 2 3'
loop_
_atom_site_label
_atom_site_type_symbol
_atom_site_fract_x
_atom_site_fract_y
_atom_site_fract_z
Mo1 Mo 0.000 0.000 0.000
Ir1 Ir 0.250 0.250 0.250
W1 W 0.000 0.000 0.500
# N(E_F)   31.98 states/eV/cell


two) # MoIr2W | the Alexandria database | PBE-GGA | relaxed
data_MoIr2W
_chemical_formula_sum 'Mo4 Ir8 W4'
_cell_length_a 6.272
_cell_length_b 6.272
_cell_length_c 6.272
_cell_angle_alpha 90.00
_cell_angle_beta 90.00
_cell_angle_gamma 90.00
_space_group_name_H-M_alt 'F -4 3 m'
_space_group_IT_number 216
_space_group_name_Hall 'F -4 2 3'
loop_
_atom_site_label
_atom_site_type_symbol
_atom_site_fract_x
_atom_site_fract_y
_atom_site_fract_z
Mo1 Mo 0.000 0.000 0.000
Ir1 Ir 0.000 0.000 0.500
Ir2 Ir 0.250 0.250 0.750
W1 W 0.250 0.250 0.250
# N(E_F)   19.90 states/eV/cell


Computed energies relative to the best structure, in eV/atom: one) 0.190; two) 0.000


one) # MoIrW2 | the Alexandria database | PBE-GGA | relaxed
data_MoIrW2
_chemical_formula_sum 'Mo3 Ir3 W6'
_cell_length_a 2.7826
_cell_length_b 2.7826
_cell_length_c 28.3886
_cell_angle_alpha 90.00
_cell_angle_beta 90.00
_cell_angle_gamma 120.00
_space_group_name_H-M_alt 'R 3 m'
_space_group_IT_number 160
_space_group_name_Hall 'R 3 -2"'
loop_
_atom_site_label
_atom_site_type_symbol
_atom_site_fract_x
_atom_site_fract_y
_atom_site_fract_z
Mo1 Mo 0.0000 0.0000 0.0000
Ir1 Ir 0.0000 0.0000 0.7459
W1 W 0.0000 0.0000 0.2458
W2 W 0.0000 0.0000 0.4916
# N(E_F)   13.89 states/eV/cell


two) # MoIrW2 | the Alexandria database | PBE-GGA | relaxed
data_MoIrW2
_chemical_formula_sum 'Mo4 Ir4 W8'
_cell_length_a 6.318
_cell_length_b 6.318
_cell_length_c 6.318
_cell_angle_alpha 90.00
_cell_angle_beta 90.00
_cell_angle_gamma 90.00
_space_group_name_H-M_alt 'F m -3 m'
_space_group_IT_number 225
_space_group_name_Hall '-F 4 2 3'
loop_
_atom_site_label
_atom_site_type_symbol
_atom_site_fract_x
_atom_site_fract_y
_atom_site_fract_z
Mo1 Mo 0.000 0.000 0.000
Ir1 Ir 0.000 0.000 0.500
W1 W 0.250 0.250 0.250
# N(E_F)   27.01 states/eV/cell


Computed energies relative to the best structure, in eV/atom: one) 0.000; two) 0.014


one) # MoIrW2 | the Alexandria database | PBE-GGA | relaxed
data_MoIrW2
_chemical_formula_sum 'Mo1 Ir1 W2'
_cell_length_a 2.747
_cell_length_b 4.505
_cell_length_c 5.134
_cell_angle_alpha 90.00
_cell_angle_beta 96.55
_cell_angle_gamma 90.00
_space_group_name_H-M_alt 'P 1 m 1'
_space_group_IT_number 6
loop_
_space_group_symop_operation_xyz
'x,y,z'
'x,-y,z'
loop_
_atom_site_label
_atom_site_type_symbol
_atom_site_fract_x
_atom_site_fract_y
_atom_site_fract_z
Mo1 Mo 0.000 0.000 0.000
Ir1 Ir 0.411 0.500 0.772
W1 W 0.446 0.000 0.498
W2 W 0.776 0.500 0.271
# N(E_F)   3.28 states/eV/cell


two) # MoIrW2 | the Alexandria database | PBE-GGA | relaxed
data_MoIrW2
_chemical_formula_sum 'Mo1 Ir1 W2'
_cell_length_a 3.981
_cell_length_b 3.981
_cell_length_c 3.954
_cell_angle_alpha 90.00
_cell_angle_beta 90.00
_cell_angle_gamma 90.00
_space_group_name_H-M_alt 'P 4/m m m'
_space_group_IT_number 123
_space_group_name_Hall '-P 4 2'
loop_
_atom_site_label
_atom_site_type_symbol
_atom_site_fract_x
_atom_site_fract_y
_atom_site_fract_z
Mo1 Mo 0.000 0.000 0.000
Ir1 Ir 0.500 0.500 0.000
W1 W 0.000 0.500 0.500
# N(E_F)   3.18 states/eV/cell


Computed energies relative to the best structure, in eV/atom: one) 0.021; two) 0.000